Li3BiC | PBE | relaxed

Values from the calculation:
Energy above the most stable polymorph in this dataset = 0.7963 eV/atom
Magnetization = 2.000 μB per formula unit
Symmetry = Pm-3m (221)

Lattice parameters (Å, degrees): 5.2923 5.2923 5.2923 90.00 90.00 90.00
With the nearest neighbours (Å) after each atom.
Fractional positions:
C 0.5000 0.5000 0.5000  12 Li 3.74
Li 0.0000 0.5000 0.0000  2 Bi 2.65
Li 0.5000 0.0000 0.0000  2 Bi 2.65
Li 0.0000 0.0000 0.5000  2 Bi 2.65
Bi 0.0000 0.0000 0.0000  6 Li 2.65

---

CdH | PBE | relaxed

Values from the calculation:
Energy above the most stable polymorph in this dataset = 0.2152 eV/atom
Magnetization = 0.000 μB per formula unit
Symmetry = Pmn2_1 (31)

Lattice parameters (Å, degrees): 9.5593 3.3408 6.2714 90.00 90.00 90.00
With the nearest neighbours (Å) after each atom.
Fractional positions:
Cd 0.3032 0.7779 0.8032  4 H 1.92-2.15
Cd 0.6968 0.7779 0.8032  4 H 1.92-2.15
Cd 0.8032 0.2221 0.3032  4 H 1.92-2.15
Cd 0.1968 0.2221 0.3032  4 H 1.92-2.15
Cd 0.0000 0.8247 0.7884  2 Cd 2.90, 5 H 2.94-3.25
Cd 0.5000 0.1753 0.2884  2 Cd 2.90, 5 H 2.94-3.25
H 0.2234 0.7044 0.1210  3 Cd 1.99-2.15
H 0.7766 0.7044 0.1210  3 Cd 1.99-2.15
H 0.0000 0.2059 0.3653  2 Cd 1.92
H 0.7234 0.2956 0.6210  3 Cd 1.99-2.15
H 0.5000 0.7941 0.8653  2 Cd 1.92
H 0.2766 0.2956 0.6210  3 Cd 1.99-2.15

---

> Which of these has the lowest magnetization?

CdH